(1)
The following is a PBE calculation of a geometry-optimized Sn2AsPd4 structure, from Alexandria.

abc: 4.131 6.002 10.626
angles: 90.00 90.00 90.00
Fractional coordinates of all 14 atoms:
Pd  0.500  0.326  0.904
Pd  0.500  0.174  0.404
Pd  0.000  0.121  0.732
Pd  0.500  0.674  0.096
Pd  0.500  0.826  0.596
Pd  0.000  0.879  0.268
Pd  0.000  0.621  0.768
Pd  0.000  0.379  0.232
As  0.000  0.500  0.000
As  0.000  0.000  0.500
Sn  0.500  0.616  0.361
Sn  0.500  0.884  0.861
Sn  0.500  0.116  0.139
Sn  0.500  0.384  0.639

The relative energy among the computed polymorphs is 0 meV/atom. The symmetry is Pbam. The energy relative to the elements comes out at -0.39 eV per atom.

=====

(2)
The following is a PBE calculation of a geometry-optimized SnAsPd2 structure, from Alexandria.

abc: 4.391 4.391 8.868
angles: 75.67 75.67 90.00
Fractional coordinates of all 8 atoms:
As  0.500  0.500  0.000
As  0.250  0.750  0.500
Sn  0.750  0.250  0.500
Sn  0.000  0.000  0.000
Pd  0.375  0.413  0.750
Pd  0.163  0.625  0.250
Pd  0.587  0.125  0.250
Pd  0.875  0.837  0.750

The relative energy among the computed polymorphs is 156 meV/atom. The symmetry is I-42d. The energy relative to the elements comes out at -0.27 eV per atom.

=====

(3)
The following is a PBE calculation of a geometry-optimized SnAsPd2 structure, from Alexandria.

abc: 5.837 6.592 7.815
angles: 90.00 89.81 90.00
Fractional coordinates of all 16 atoms:
Pd  0.508  0.694  0.607
Pd  0.008  0.806  0.607
Pd  0.513  0.711  0.152
Pd  0.992  0.194  0.393
Pd  0.487  0.289  0.848
Pd  0.013  0.789  0.152
Pd  0.492  0.306  0.393
Pd  0.987  0.211  0.848
Sn  0.293  0.900  0.879
Sn  0.793  0.600  0.879
Sn  0.207  0.400  0.121
Sn  0.707  0.100  0.121
As  0.193  0.431  0.622
As  0.807  0.569  0.378
As  0.307  0.931  0.378
As  0.693  0.069  0.622

The relative energy among the computed polymorphs is 0 meV/atom. The symmetry is P2_1/c. The energy relative to the elements comes out at -0.42 eV per atom.

=====

(4)
The following is a PBE calculation of a geometry-optimized SnAsPd2 structure, from Alexandria.

abc: 4.651 4.651 4.651
angles: 60.00 60.00 60.00
Fractional coordinates of all 4 atoms:
As  0.000  0.000  0.000
Pd  0.750  0.750  0.750
Pd  0.250  0.250  0.250
Sn  0.500  0.500  0.500

The relative energy among the computed polymorphs is 161 meV/atom. The symmetry is Fm-3m. The energy relative to the elements comes out at -0.26 eV per atom.

=====

(5)
The following is a PBE calculation of a geometry-optimized SnAs3Pd6 structure, from Alexandria.

abc: 3.206 11.373 10.273
angles: 109.18 90.00 90.00
Fractional coordinates of all 20 atoms:
Pd  0.750  0.868  0.764
Pd  0.750  0.714  0.313
Pd  0.250  0.557  0.854
Pd  0.750  0.472  0.603
Pd  0.250  0.887  0.538
Pd  0.250  0.132  0.236
Pd  0.750  0.443  0.146
Pd  0.250  0.286  0.687
Pd  0.250  0.528  0.397
Pd  0.250  0.077  0.933
Pd  0.750  0.923  0.067
Pd  0.750  0.113  0.462
As  0.250  0.606  0.117
As  0.750  0.394  0.883
As  0.250  0.783  0.898
As  0.750  0.685  0.551
As  0.250  0.315  0.449
As  0.750  0.217  0.102
Sn  0.250  0.910  0.286
Sn  0.750  0.090  0.714

The symmetry is P2_1/m. The energy relative to the elements comes out at -0.32 eV per atom.

=====

(6)
The following is a PBE calculation of a geometry-optimized SnAsPd6 structure, from Alexandria.

abc: 7.718 7.718 7.718
angles: 34.02 34.02 34.02
Fractional coordinates of all 8 atoms:
Pd  0.884  0.884  0.884
Pd  0.631  0.631  0.631
Pd  0.116  0.116  0.116
Pd  0.369  0.369  0.369
Pd  0.757  0.757  0.757
Pd  0.243  0.243  0.243
As  0.000  0.000  0.000
Sn  0.500  0.500  0.500

The relative energy among the computed polymorphs is 8 meV/atom. The symmetry is R-3m. The energy relative to the elements comes out at -0.33 eV per atom.